Entry 1:
A relaxed Pm7Te2Pb2 crystal. Source: the Alexandria database, functional PBE.

Cell lengths 7.3089, 7.1920, 7.3089 Å; angles 89.99, 102.70, 90.01 degrees
Fractional positions:
1 Pm 0.0000 0.7255 0.5000
2 Pm 0.5000 0.7424 0.5000
3 Pm 0.5000 0.2576 0.5000
4 Pm 0.5000 0.2745 0.0000
5 Pm 0.0000 0.0000 0.0000
6 Pm 0.5000 0.7255 0.0000
7 Pm 0.0000 0.2745 0.5000
8 Pb 0.8177 0.5000 0.8177
9 Pb 0.1823 0.5000 0.1823
10 Te 0.7246 0.0000 0.2754
11 Te 0.2754 0.0000 0.7246

raw formation energy: -5.16 eV/f.u.
crystal system: orthorhombic
final energy: -4.738 eV/atom
space-group type: Cmmm (65)

---

Entry 2:
A relaxed Pm8Te3Pb4 crystal. Source: the Alexandria database, functional PBE.

Cell lengths 9.0474, 8.9915, 8.9915 Å; angles 89.97, 120.27, 120.27 degrees
Fractional positions:
1 Te 0.5000 0.5000 0.5000
2 Te 0.5000 0.5000 0.0000
3 Te 0.5000 0.0000 0.5000
4 Pm 0.5000 0.2492 0.7508
5 Pm 0.9996 0.7500 0.7500
6 Pm 0.0000 0.2482 0.7518
7 Pm 0.5077 0.7569 0.7569
8 Pm 0.0000 0.7518 0.2482
9 Pm 0.5000 0.7508 0.2492
10 Pm 0.4923 0.2431 0.2431
11 Pm 0.0004 0.2500 0.2500
12 Pb 0.5000 0.0000 0.0000
13 Pb 0.0000 0.0000 0.5000
14 Pb 0.0000 0.0000 0.0000
15 Pb 0.0000 0.5000 0.0000

raw formation energy: -12.33 eV/f.u.
crystal system: monoclinic
final energy: -4.973 eV/atom
space-group type: C2/m (12)

---

Entry 3:
A relaxed Pm8TePb2 crystal. Source: the Alexandria database, functional PBE.

Cell lengths 4.9164, 7.7792, 9.7390 Å; angles 91.26, 104.62, 90.00 degrees
Fractional positions:
1 Pm 0.5980 0.5242 0.1960
2 Pm 0.3370 0.9493 0.6740
3 Pm 0.7839 0.6391 0.5678
4 Pm 0.2161 0.3609 0.4322
5 Pm 0.0075 0.2533 0.0151
6 Pm 0.4020 0.4758 0.8040
7 Pm 0.9925 0.7467 0.9849
8 Pm 0.6630 0.0507 0.3260
9 Te 0.5000 0.0000 0.0000
10 Pb 0.8284 0.2178 0.6569
11 Pb 0.1716 0.7822 0.3431

raw formation energy: -4.60 eV/f.u.
crystal system: monoclinic
final energy: -4.833 eV/atom
space-group type: C2/m (12)

---

Entry 4:
A relaxed Pm8TePb5 crystal. Source: the Alexandria database, functional PBE.

Cell lengths 8.3124, 8.3124, 8.3124 Å; angles 109.49, 109.42, 109.49 degrees
Fractional positions:
1 Te 0.2500 0.5000 0.7500
2 Pm 0.2678 0.2525 0.3769
3 Pm 0.1244 0.7475 0.0153
4 Pm 0.6231 0.8909 0.8756
5 Pm 0.9847 0.1091 0.7322
6 Pm 0.7641 0.2485 0.3728
7 Pm 0.6272 0.3914 0.8757
8 Pm 0.1243 0.7515 0.5156
9 Pm 0.4844 0.6086 0.2359
10 Pb 0.7503 0.6255 0.6265
11 Pb 0.5000 0.0000 0.5000
12 Pb 0.0010 0.3745 0.1249
13 Pb 0.8751 0.8762 0.2497
14 Pb 0.3735 0.1238 0.9990

raw formation energy: -9.53 eV/f.u.
crystal system: tetragonal
final energy: -4.944 eV/atom
space-group type: I-4 (82)

---

Among the records above, which one has the lowest raw formation energy? Pm8Te3Pb4

---

What is the raw formation energy in the third record? -4.60 eV/f.u.

---

Look up the final energy of the third one. -4.833 eV/atom

---

Copy entry 4 word for word.
A relaxed Pm8TePb5 crystal. Source: the Alexandria database, functional PBE.

Cell lengths 8.3124, 8.3124, 8.3124 Å; angles 109.49, 109.42, 109.49 degrees
Fractional positions:
1 Te 0.2500 0.5000 0.7500
2 Pm 0.2678 0.2525 0.3769
3 Pm 0.1244 0.7475 0.0153
4 Pm 0.6231 0.8909 0.8756
5 Pm 0.9847 0.1091 0.7322
6 Pm 0.7641 0.2485 0.3728
7 Pm 0.6272 0.3914 0.8757
8 Pm 0.1243 0.7515 0.5156
9 Pm 0.4844 0.6086 0.2359
10 Pb 0.7503 0.6255 0.6265
11 Pb 0.5000 0.0000 0.5000
12 Pb 0.0010 0.3745 0.1249
13 Pb 0.8751 0.8762 0.2497
14 Pb 0.3735 0.1238 0.9990

raw formation energy: -9.53 eV/f.u.
crystal system: tetragonal
final energy: -4.944 eV/atom
space-group type: I-4 (82)